The following is a DFT calculation (PBE) of a relaxed structure of TlInTcSn2.

POSCAR file:
```
TlInTcSn2
1.0
-4.538 -2.327 -1.016
-0.798 -0.669 5.095
-2.463 4.701 0.232
Sn In Tc Tl
2 1 1 1
direct
0.500 0.000 0.000
0.000 0.500 0.000
0.000 0.000 0.500
0.000 0.000 0.000
0.500 0.500 0.500
```

Uncorrected energy in eV/atom: -4.538
Crystal system: tetragonal
Space-group type: P4/mmm
ΔH_f (0 K) in eV per atom: 0.157